PBE ZrBeTeW, relaxed; total DFT energy (no corrections) = -6.710 eV/atom; space-group type = F-43m, No. 216
1.0
0.000 3.266 3.266
3.266 0.000 3.266
3.266 3.266 0.000
Zr Be Te W
1 1 1 1
Direct
0.000 0.000 0.000
0.250 0.250 0.250
0.750 0.750 0.750
0.500 0.500 0.500

PBE ZrBeTeW, relaxed; total DFT energy (no corrections) = -6.573 eV/atom; space-group type = F-43m, No. 216
1.0
0.000 3.272 3.272
3.272 0.000 3.272
3.272 3.272 0.000
Zr Be Te W
1 1 1 1
Direct
0.000 0.000 0.000
0.250 0.250 0.250
0.500 0.500 0.500
0.750 0.750 0.750

PBE Be2ZnTe, relaxed; total DFT energy (no corrections) = -2.124 eV/atom; space-group type = F-43m, No. 216
1.0
0.000 3.211 3.211
3.211 0.000 3.211
3.211 3.211 0.000
Be Zn Te
2 1 1
Direct
0.000 0.000 0.000
0.250 0.250 0.250
0.750 0.750 0.750
0.500 0.500 0.500

PBE ZrBeTe, relaxed; total DFT energy (no corrections) = -4.729 eV/atom; space-group type = F-43m, No. 216
1.0
0.000 3.292 3.292
3.292 0.000 3.292
3.292 3.292 0.000
Zr Be Te
1 1 1
Direct
0.000 0.000 0.000
0.750 0.750 0.750
0.250 0.250 0.250

PBE ZrBeTe2, relaxed; total DFT energy (no corrections) = -4.152 eV/atom; space-group type = F-43m, No. 216
1.0
0.000 3.570 3.570
3.570 0.000 3.570
3.570 3.570 0.000
Zr Be Te
1 1 2
Direct
0.000 0.000 0.000
0.750 0.750 0.750
0.250 0.250 0.250
0.500 0.500 0.500

PBE ZrBeTe, relaxed; total DFT energy (no corrections) = -4.796 eV/atom; space-group type = F-43m, No. 216
1.0
0.000 3.113 3.113
3.113 0.000 3.113
3.113 3.113 0.000
Zr Be Te
1 1 1
Direct
0.000 0.000 0.000
0.750 0.750 0.750
0.500 0.500 0.500

PBE ThBe, relaxed; total DFT energy (no corrections) = -4.304 eV/atom; space-group type = F-43m, No. 216
1.0
0.000 3.098 3.098
3.098 0.000 3.098
3.098 3.098 0.000
Th Be
1 1
Direct
0.000 0.000 0.000
0.250 0.250 0.250

PBE ThBe, relaxed; total DFT energy (no corrections) = -5.001 eV/atom; space-group type = Fm-3m, No. 225
1.0
0.000 2.885 2.885
2.885 0.000 2.885
2.885 2.885 0.000
Th Be
1 1
Direct
0.000 0.000 0.000
0.500 0.500 0.500

PBE ThBe, relaxed; total DFT energy (no corrections) = -5.054 eV/atom; space-group type = P-6m2, No. 187
1.0
3.452 0.000 0.000
-1.726 2.990 0.000
0.000 0.000 4.405
Th Be
1 1
Direct
0.000 0.000 0.000
0.333 0.667 0.500

PBE ThBeTl, relaxed; total DFT energy (no corrections) = -3.905 eV/atom; space-group type = F-43m, No. 216
1.0
0.000 3.445 3.445
3.445 0.000 3.445
3.445 3.445 0.000
Th Be Tl
1 1 1
Direct
0.000 0.000 0.000
0.500 0.500 0.500
0.750 0.750 0.750

PBE ThBeTl, relaxed; total DFT energy (no corrections) = -4.367 eV/atom; space-group type = F-43m, No. 216
1.0
0.000 3.300 3.300
3.300 0.000 3.300
3.300 3.300 0.000
Th Be Tl
1 1 1
Direct
0.000 0.000 0.000
0.250 0.250 0.250
0.500 0.500 0.500

PBE TmThBe, relaxed; total DFT energy (no corrections) = -4.890 eV/atom; space-group type = F-43m, No. 216
1.0
0.000 3.369 3.369
3.369 0.000 3.369
3.369 3.369 0.000
Tm Th Be
1 1 1
Direct
0.000 0.000 0.000
0.500 0.500 0.500
0.750 0.750 0.750

PBE ThUBe, relaxed; total DFT energy (no corrections) = -6.848 eV/atom; space-group type = F-43m, No. 216
1.0
0.000 3.242 3.242
3.242 0.000 3.242
3.242 3.242 0.000
Th U Be
1 1 1
Direct
0.000 0.000 0.000
0.500 0.500 0.500
0.250 0.250 0.250

PBE TmBeTl, relaxed; total DFT energy (no corrections) = -3.271 eV/atom; space-group type = F-43m, No. 216
1.0
0.000 3.284 3.284
3.284 0.000 3.284
3.284 3.284 0.000
Tm Be Tl
1 1 1
Direct
0.000 0.000 0.000
0.500 0.500 0.500
0.750 0.750 0.750

PBE TmBeTl, relaxed; total DFT energy (no corrections) = -2.914 eV/atom; space-group type = F-43m, No. 216
1.0
0.000 3.373 3.373
3.373 0.000 3.373
3.373 3.373 0.000
Tm Be Tl
1 1 1
Direct
0.000 0.000 0.000
0.750 0.750 0.750
0.250 0.250 0.250

PBE Be2TlW, relaxed; total DFT energy (no corrections) = -4.480 eV/atom; space-group type = F-43m, No. 216
1.0
0.000 3.125 3.125
3.125 0.000 3.125
3.125 3.125 0.000
Be Tl W
2 1 1
Direct
0.000 0.000 0.000
0.250 0.250 0.250
0.500 0.500 0.500
0.750 0.750 0.750